Record 1
VASP calculation (PBE) on a relaxed Ac2Pm5Ho6 crystal.

a = 3.6622 Å, b = 11.9686 Å, c = 20.6226 Å
α = 90.00°, β = 90.00°, γ = 90.00°
With the nearest neighbours (Å) after each atom.
Atoms (fractional coordinates):
1 Ac 0.0000 0.3342 0.2767  4 Ho 3.60-4.01, 6 Pm 3.61-3.98, 2 Ac 3.66
2 Ac 0.0000 0.6658 0.7233  4 Ho 3.60-4.01, 6 Pm 3.61-3.98, 2 Ac 3.66
3 Ac 0.0000 0.8342 0.2233  4 Ho 3.60-4.01, 6 Pm 3.61-3.98, 2 Ac 3.66
4 Ac 0.0000 0.1658 0.7767  4 Ho 3.60-4.01, 6 Pm 3.61-3.98, 2 Ac 3.66
5 Pm 0.5000 0.2986 0.4468  7 Ho 3.61-3.81, 3 Pm 3.66-3.74, 2 Ac 3.98
6 Pm 0.5000 0.7014 0.5532  7 Ho 3.61-3.81, 3 Pm 3.66-3.74, 2 Ac 3.98
7 Pm 0.5000 0.7986 0.0532  7 Ho 3.61-3.81, 3 Pm 3.66-3.74, 2 Ac 3.98
8 Pm 0.5000 0.2014 0.9468  7 Ho 3.61-3.81, 3 Pm 3.66-3.74, 2 Ac 3.98
9 Pm 0.5000 0.5942 0.2848  5 Ho 3.31-3.54, 4 Ac 3.61-3.64, 2 Pm 3.66
10 Pm 0.5000 0.4058 0.7152  5 Ho 3.31-3.54, 4 Ac 3.61-3.64, 2 Pm 3.66
11 Pm 0.5000 0.0942 0.2152  5 Ho 3.31-3.54, 4 Ac 3.61-3.64, 2 Pm 3.66
12 Pm 0.5000 0.9058 0.7848  5 Ho 3.31-3.54, 4 Ac 3.61-3.64, 2 Pm 3.66
13 Pm 0.5000 0.5000 0.0000  6 Ho 3.30-3.50, 2 Pm 3.66
14 Pm 0.5000 0.0000 0.5000  6 Ho 3.30-3.50, 2 Pm 3.66
15 Ho 0.0000 0.0707 0.3612  6 Pm 3.50-3.73, 4 Ho 3.58-3.66, 1 Ac 3.60
16 Ho 0.0000 0.9293 0.6388  6 Pm 3.50-3.73, 4 Ho 3.58-3.66, 1 Ac 3.60
17 Ho 0.0000 0.5707 0.1388  6 Pm 3.50-3.73, 4 Ho 3.58-3.66, 1 Ac 3.60
18 Ho 0.0000 0.4293 0.8612  6 Pm 3.50-3.73, 4 Ho 3.58-3.66, 1 Ac 3.60
19 Ho 0.5000 0.3159 0.1194  2 Pm 3.30-3.31, 6 Ho 3.58-3.68
20 Ho 0.5000 0.6841 0.8806  2 Pm 3.30-3.31, 6 Ho 3.58-3.68
21 Ho 0.5000 0.8159 0.3806  2 Pm 3.30-3.31, 6 Ho 3.58-3.68
22 Ho 0.5000 0.1841 0.6194  2 Pm 3.30-3.31, 6 Ho 3.58-3.68
23 Ho 0.0000 0.5609 0.4263  5 Ho 3.37-3.68, 6 Pm 3.47-3.66
24 Ho 0.0000 0.4391 0.5737  5 Ho 3.37-3.68, 6 Pm 3.47-3.66
25 Ho 0.0000 0.0609 0.0737  5 Ho 3.37-3.68, 6 Pm 3.47-3.66
26 Ho 0.0000 0.9391 0.9263  5 Ho 3.37-3.68, 6 Pm 3.47-3.66

## Properties
Crystal system ... orthorhombic
Space-group type ... Pbam, No. 55

Record 2
VASP calculation (PBE) on a relaxed AcPm3Ho4 crystal.

a = 6.3459 Å, b = 7.3907 Å, c = 11.6444 Å
α = 90.00°, β = 90.00°, γ = 90.00°
With the nearest neighbours (Å) after each atom.
Atoms (fractional coordinates):
1 Ac 0.9909 0.1261 0.0000  6 Pm 3.62-3.76, 6 Ho 3.63-3.75
2 Ac 0.4909 0.8739 0.5000  6 Pm 3.62-3.76, 6 Ho 3.63-3.75
3 Pm 0.4816 0.8663 0.0000  6 Ho 3.57-3.83, 4 Pm 3.63-3.64, 2 Ac 3.66-3.76
4 Pm 0.1438 0.8695 0.2528  6 Ho 3.58-3.78, 2 Ac 3.62-3.63, 4 Pm 3.63-3.71
5 Pm 0.6438 0.1305 0.2472  6 Ho 3.58-3.78, 2 Ac 3.62-3.63, 4 Pm 3.63-3.71
6 Pm 0.9816 0.1337 0.5000  6 Ho 3.57-3.83, 4 Pm 3.63-3.64, 2 Ac 3.66-3.76
7 Pm 0.6438 0.1305 0.7528  6 Ho 3.58-3.78, 2 Ac 3.62-3.63, 4 Pm 3.63-3.71
8 Pm 0.1438 0.8695 0.7472  6 Ho 3.58-3.78, 2 Ac 3.62-3.63, 4 Pm 3.63-3.71
9 Ho 0.9790 0.6216 0.0000  6 Ho 3.57-3.64, 4 Pm 3.62-3.67, 2 Ac 3.66-3.73
10 Ho 0.4817 0.3839 0.0000  6 Ho 3.53-3.64, 4 Pm 3.57-3.83, 2 Ac 3.65-3.75
11 Ho 0.1472 0.3811 0.2522  6 Ho 3.53-3.63, 5 Pm 3.57-3.78, 1 Ac 3.63
12 Ho 0.6472 0.6189 0.2478  6 Ho 3.53-3.63, 5 Pm 3.57-3.78, 1 Ac 3.63
13 Ho 0.9817 0.6161 0.5000  6 Ho 3.53-3.64, 4 Pm 3.57-3.83, 2 Ac 3.65-3.75
14 Ho 0.4790 0.3784 0.5000  6 Ho 3.57-3.64, 4 Pm 3.62-3.67, 2 Ac 3.66-3.73
15 Ho 0.6472 0.6189 0.7522  6 Ho 3.53-3.63, 5 Pm 3.57-3.78, 1 Ac 3.63
16 Ho 0.1472 0.3811 0.7478  6 Ho 3.53-3.63, 5 Pm 3.57-3.78, 1 Ac 3.63

## Properties
Crystal system ... orthorhombic
Space-group type ... Pmn2_1, No. 31

Record 3
VASP calculation (PBE) on a relaxed Ac8Pm3Ho crystal.

a = 9.3148 Å, b = 9.3148 Å, c = 9.3331 Å
α = 96.64°, β = 134.05°, γ = 100.81°
With the nearest neighbours (Å) after each atom.
Atoms (fractional coordinates):
1 Ac 0.4985 0.2200 0.2213  1 Ho 3.48, 1 Pm 3.52, 5 Ac 3.69-3.89
2 Ac 0.5015 0.7801 0.7787  1 Ho 3.48, 1 Pm 3.52, 5 Ac 3.69-3.89
3 Ac 0.0014 0.7228 0.2213  1 Ho 3.48, 1 Pm 3.52, 5 Ac 3.69-3.89
4 Ac 0.9986 0.2772 0.7787  1 Ho 3.48, 1 Pm 3.52, 5 Ac 3.69-3.89
5 Ac 0.2064 0.4031 0.3008  1 Ho 3.61, 1 Pm 3.63, 6 Ac 3.67-3.94
6 Ac 0.8978 0.0944 0.3009  1 Ho 3.61, 1 Pm 3.63, 6 Ac 3.67-3.94
7 Ac 0.7934 0.5969 0.6991  1 Ho 3.61, 1 Pm 3.63, 6 Ac 3.67-3.94
8 Ac 0.1022 0.9056 0.6992  1 Ho 3.61, 1 Pm 3.63, 6 Ac 3.67-3.94
9 Pm 0.4506 0.7513 0.2020  10 Ac 4.06-4.32, 1 Ho 4.49, 1 Pm 4.53
10 Pm 0.5494 0.2487 0.7980  10 Ac 4.06-4.32, 1 Ho 4.49, 1 Pm 4.53
11 Pm 0.0000 0.5000 0.5000  8 Ac 3.52-3.63
12 Ho 0.0000 0.0000 0.0000  8 Ac 3.48-3.61

## Properties
Crystal system ... monoclinic
Space-group type ... C2/m, No. 12

Record 4
VASP calculation (PBE) on a relaxed Ac2Pm5Ho4 crystal.

a = 3.6943 Å, b = 8.9785 Å, c = 12.1249 Å
α = 104.93°, β = 98.76°, γ = 90.00°
With the nearest neighbours (Å) after each atom.
Atoms (fractional coordinates):
1 Ac 0.5897 0.7231 0.1794  5 Ho 3.67-3.71, 5 Pm 3.69-3.75, 2 Ac 3.69
2 Ac 0.4103 0.2769 0.8206  5 Ho 3.67-3.71, 5 Pm 3.69-3.75, 2 Ac 3.69
3 Pm 0.1376 0.0979 0.2752  3 Ho 3.54-3.60, 7 Pm 3.60-3.77, 2 Ac 3.75
4 Pm 0.8624 0.9021 0.7248  3 Ho 3.54-3.60, 7 Pm 3.60-3.77, 2 Ac 3.75
5 Pm 0.2286 0.8131 0.4573  3 Ho 3.59-3.63, 7 Pm 3.60-3.77, 2 Ac 3.71
6 Pm 0.5000 0.0000 0.0000  4 Ho 3.63, 6 Pm 3.68-3.69, 2 Ac 3.69
7 Pm 0.7714 0.1869 0.5427  3 Ho 3.59-3.63, 7 Pm 3.60-3.77, 2 Ac 3.71
8 Ho 0.6827 0.4533 0.3655  5 Pm 3.59-3.63, 6 Ho 3.60-3.69, 1 Ac 3.70
9 Ho 0.0493 0.3577 0.0985  3 Pm 3.54-3.63, 5 Ho 3.60-3.91, 4 Ac 3.67-3.71
10 Ho 0.3173 0.5467 0.6345  5 Pm 3.59-3.63, 6 Ho 3.60-3.69, 1 Ac 3.70
11 Ho 0.9507 0.6423 0.9015  3 Pm 3.54-3.63, 5 Ho 3.60-3.91, 4 Ac 3.67-3.71

## Properties
Crystal system ... monoclinic
Space-group type ... C2/m, No. 12

Record 5
VASP calculation (PBE) on a relaxed Ac2Pm8Ho crystal.

a = 5.7587 Å, b = 10.5934 Å, c = 10.5934 Å
α = 39.40°, β = 93.23°, γ = 93.23°
With the nearest neighbours (Å) after each atom.
Atoms (fractional coordinates):
1 Ac 0.7425 0.2810 0.2810  11 Pm 3.48-3.89
2 Ac 0.2575 0.7190 0.7190  11 Pm 3.48-3.89
3 Pm 0.2687 0.1416 0.6156  7 Pm 3.39-3.76, 1 Ho 3.50, 1 Ac 3.69
4 Pm 0.2687 0.6156 0.1416  7 Pm 3.39-3.76, 1 Ho 3.50, 1 Ac 3.69
5 Pm 0.7313 0.8584 0.3844  7 Pm 3.39-3.76, 1 Ho 3.50, 1 Ac 3.69
6 Pm 0.2335 0.5443 0.5443  1 Pm 3.13, 1 Ac 3.48
7 Pm 0.7313 0.3844 0.8584  7 Pm 3.39-3.76, 1 Ho 3.50, 1 Ac 3.69
8 Pm 0.2240 0.1755 0.1755  4 Pm 3.52-3.69, 4 Ac 3.55-3.68, 1 Ho 3.66
9 Pm 0.7760 0.8245 0.8245  4 Pm 3.52-3.69, 4 Ac 3.55-3.68, 1 Ho 3.66
10 Pm 0.7665 0.4557 0.4557  1 Pm 3.13, 1 Ac 3.48
11 Ho 0.0000 0.0000 0.0000  10 Pm 3.50-3.90

## Properties
Crystal system ... monoclinic
Space-group type ... C2/m, No. 12

Record 6
VASP calculation (PBE) on a relaxed AcPm2Ho4 crystal.

a = 6.9362 Å, b = 6.9362 Å, c = 6.9362 Å
α = 123.38°, β = 103.01°, γ = 102.99°
With the nearest neighbours (Å) after each atom.
Atoms (fractional coordinates):
1 Ac 0.0000 0.0000 0.0000  12 Ho 3.72-4.07
2 Pm 0.5000 0.2500 0.7500  2 Pm 3.29, 8 Ho 3.53
3 Pm 0.5000 0.7500 0.2500  2 Pm 3.29, 8 Ho 3.53
4 Ho 0.0000 0.3045 0.6955  4 Ho 3.38-3.55, 4 Pm 3.53, 1 Ac 3.72
5 Ho 0.0000 0.6955 0.3045  4 Ho 3.38-3.55, 4 Pm 3.53, 1 Ac 3.72
6 Ho 0.6089 0.3045 0.3045  4 Ho 3.38-3.55, 4 Pm 3.53, 1 Ac 3.72
7 Ho 0.3911 0.6955 0.6955  4 Ho 3.38-3.55, 4 Pm 3.53, 1 Ac 3.72

## Properties
Crystal system ... tetragonal
Space-group type ... I4/mmm, No. 139

Record 7
VASP calculation (PBE) on a relaxed AcPmHo5 crystal.

a = 6.6458 Å, b = 6.6458 Å, c = 11.8912 Å
α = 106.31°, β = 106.31°, γ = 95.40°
With the nearest neighbours (Å) after each atom.
Atoms (fractional coordinates):
1 Ac 0.0000 0.0000 0.0000  6 Ho 3.44-3.68
2 Ac 0.0000 0.0000 0.5000  6 Ho 3.44-3.68
3 Pm 0.4833 0.5167 0.7500  9 Ho 3.35-3.65
4 Pm 0.5167 0.4833 0.2500  9 Ho 3.35-3.65
5 Ho 0.3847 0.0368 0.8328  5 Ho 3.44-3.73, 2 Pm 3.50-3.65, 1 Ac 3.68
6 Ho 0.4718 0.7633 0.5352  6 Ho 3.32-3.56, 2 Pm 3.39-3.49, 1 Ac 3.61
7 Ho 0.0368 0.3847 0.3328  5 Ho 3.44-3.73, 2 Pm 3.50-3.65, 1 Ac 3.68
8 Ho 0.8236 0.1764 0.7500  6 Ho 3.32-3.56, 1 Pm 3.35, 2 Ac 3.44
9 Ho 0.2367 0.5282 0.9648  6 Ho 3.32-3.56, 2 Pm 3.39-3.49, 1 Ac 3.61
10 Ho 0.7633 0.4718 0.0352  6 Ho 3.32-3.56, 2 Pm 3.39-3.49, 1 Ac 3.61
11 Ho 0.1764 0.8236 0.2500  6 Ho 3.32-3.56, 1 Pm 3.35, 2 Ac 3.44
12 Ho 0.9632 0.6153 0.6672  5 Ho 3.44-3.73, 2 Pm 3.50-3.65, 1 Ac 3.68
13 Ho 0.5282 0.2367 0.4648  6 Ho 3.32-3.56, 2 Pm 3.39-3.49, 1 Ac 3.61
14 Ho 0.6153 0.9632 0.1672  5 Ho 3.44-3.73, 2 Pm 3.50-3.65, 1 Ac 3.68

## Properties
Crystal system ... monoclinic
Space-group type ... C2/c, No. 15

Record 8
VASP calculation (PBE) on a relaxed Ac2PmHo4 crystal.

a = 3.6462 Å, b = 3.6532 Å, c = 18.8727 Å
α = 90.00°, β = 95.54°, γ = 90.00°
With the nearest neighbours (Å) after each atom.
Atoms (fractional coordinates):
1 Ac 0.7961 0.5000 0.5923  6 Ac 3.65-3.92, 4 Ho 3.77
2 Ac 0.2039 0.5000 0.4077  6 Ac 3.65-3.92, 4 Ho 3.77
3 Pm 0.5000 0.0000 0.0000  8 Ho 3.58, 4 Pm 3.65
4 Ho 0.9338 0.5000 0.8676  8 Ho 3.54-3.65, 4 Pm 3.58
5 Ho 0.6305 0.0000 0.2611  8 Ho 3.54-3.65, 4 Ac 3.77
6 Ho 0.0662 0.5000 0.1324  8 Ho 3.54-3.65, 4 Pm 3.58
7 Ho 0.3695 0.0000 0.7389  8 Ho 3.54-3.65, 4 Ac 3.77

## Properties
Crystal system ... orthorhombic
Space-group type ... Cmmm, No. 65

Record 9
VASP calculation (PBE) on a relaxed Ac2Pm2Ho7 crystal.

a = 3.7163 Å, b = 10.6757 Å, c = 10.6757 Å
α = 67.89°, β = 100.08°, γ = 100.08°
With the nearest neighbours (Å) after each atom.
Atoms (fractional coordinates):
1 Ac 0.3066 0.8076 0.8076  10 Ho 3.68-3.91, 2 Ac 3.72
2 Ac 0.6934 0.1924 0.1924  10 Ho 3.68-3.91, 2 Ac 3.72
3 Pm 0.5000 0.2470 0.7530  8 Ho 3.45-3.56, 2 Pm 3.72
4 Pm 0.5000 0.7530 0.2470  8 Ho 3.45-3.56, 2 Pm 3.72
5 Ho 0.1675 0.4351 0.9003  6 Ho 3.43-3.72, 2 Pm 3.45-3.46, 3 Ac 3.68-3.72
6 Ho 0.8325 0.0997 0.5649  6 Ho 3.43-3.72, 2 Pm 3.45-3.46, 3 Ac 3.68-3.72
7 Ho 0.8325 0.5649 0.0997  6 Ho 3.43-3.72, 2 Pm 3.45-3.46, 3 Ac 3.68-3.72
8 Ho 0.1675 0.9003 0.4351  6 Ho 3.43-3.72, 2 Pm 3.45-3.46, 3 Ac 3.68-3.72
9 Ho 0.3934 0.3909 0.3909  7 Ho 3.48-3.78, 2 Pm 3.56
10 Ho 0.0000 0.0000 0.0000  4 Pm 3.48, 2 Ho 3.72, 4 Ac 3.81-3.82
11 Ho 0.6066 0.6091 0.6091  7 Ho 3.48-3.78, 2 Pm 3.56

## Properties
Crystal system ... monoclinic
Space-group type ... C2/m, No. 12

Record 10
VASP calculation (PBE) on a relaxed AcPm6Ho6 crystal.

a = 6.7532 Å, b = 6.7532 Å, c = 11.4917 Å
α = 90.00°, β = 90.00°, γ = 119.99°
With the nearest neighbours (Å) after each atom.
Atoms (fractional coordinates):
1 Ac 0.0000 0.0000 0.0000  8 Pm 3.90-4.05
2 Pm 0.0000 0.0000 0.6476  1 Pm 3.39, 6 Ho 3.58
3 Pm 0.0000 0.0000 0.3524  1 Pm 3.39, 6 Ho 3.58
4 Pm 0.3334 0.6666 0.0000  6 Ho 3.46
5 Pm 0.6666 0.3334 0.0000  6 Ho 3.46
6 Pm 0.3332 0.6668 0.5000  6 Ho 3.48, 2 Pm 3.90
7 Pm 0.6668 0.3332 0.5000  6 Ho 3.48, 2 Pm 3.90
8 Ho 0.0000 0.5000 0.7510  4 Ho 3.38, 6 Pm 3.46-3.58
9 Ho 0.5000 0.0000 0.7510  4 Ho 3.38, 6 Pm 3.46-3.58
10 Ho 0.5000 0.5000 0.7509  4 Ho 3.38, 6 Pm 3.46-3.58
11 Ho 0.5000 0.0000 0.2490  4 Ho 3.38, 6 Pm 3.46-3.58
12 Ho 0.0000 0.5000 0.2490  4 Ho 3.38, 6 Pm 3.46-3.58
13 Ho 0.5000 0.5000 0.2491  4 Ho 3.38, 6 Pm 3.46-3.58

## Properties
Crystal system ... hexagonal
Space-group type ... P6/mmm, No. 191

Record 11
VASP calculation (PBE) on a relaxed Ac8Pm3Ho2 crystal.

a = 6.7996 Å, b = 7.7267 Å, c = 11.0257 Å
α = 69.49°, β = 80.34°, γ = 90.00°
With the nearest neighbours (Å) after each atom.
Atoms (fractional coordinates):
1 Ac 0.1649 0.4488 0.1025  1 Ho 3.26, 2 Pm 3.27, 1 Ac 3.35
2 Ac 0.8351 0.5512 0.8975  1 Ho 3.26, 2 Pm 3.27, 1 Ac 3.35
3 Ac 0.2161 0.8399 0.3203  3 Ho 3.58-3.98, 3 Pm 3.85-3.86, 4 Ac 3.90-3.99
4 Ac 0.7839 0.1601 0.6797  3 Ho 3.58-3.98, 3 Pm 3.85-3.86, 4 Ac 3.90-3.99
5 Ac 0.2914 0.8994 0.6826  2 Ho 3.57-3.90, 4 Ac 3.72-3.99, 1 Pm 3.82
6 Ac 0.2914 0.4179 0.6826  2 Ho 3.57-3.90, 4 Ac 3.72-3.99, 1 Pm 3.82
7 Ac 0.7086 0.5821 0.3174  2 Ho 3.57-3.90, 4 Ac 3.72-3.99, 1 Pm 3.82
8 Ac 0.7086 0.1006 0.3174  2 Ho 3.57-3.90, 4 Ac 3.72-3.99, 1 Pm 3.82
9 Pm 0.0000 0.0000 0.0000  4 Pm 3.75, 6 Ac 3.85-4.04
10 Pm 0.5000 0.2043 0.0000  1 Pm 3.16, 2 Ac 3.27
11 Pm 0.5000 0.7957 0.0000  1 Pm 3.16, 2 Ac 3.27
12 Ho 0.8005 0.7065 0.5870  4 Ac 3.26-3.58
13 Ho 0.1995 0.2935 0.4130  4 Ac 3.26-3.58

## Properties
Crystal system ... monoclinic
Space-group type ... C2/m, No. 12

Record 12
VASP calculation (PBE) on a relaxed AcPm12Ho5 crystal.

a = 12.1752 Å, b = 10.5539 Å, c = 5.8183 Å
α = 90.06°, β = 90.10°, γ = 54.77°
With the nearest neighbours (Å) after each atom.
Atoms (fractional coordinates):
1 Ac 0.0000 0.0000 0.0000  10 Pm 3.62-3.94, 4 Ho 3.79
2 Pm 0.7950 0.0000 0.4747  2 Pm 3.16-3.17, 2 Ho 3.49
3 Pm 0.2050 0.0000 0.5253  2 Pm 3.16-3.17, 2 Ho 3.49
4 Pm 0.6924 0.0000 0.9755  2 Pm 3.16-3.17, 2 Ho 3.35
5 Pm 0.3076 0.0000 0.0245  2 Pm 3.16-3.17, 2 Ho 3.35
6 Pm 0.3319 0.6381 0.9971  6 Pm 3.39-3.78, 3 Ho 3.49-3.62, 1 Ac 3.62
7 Pm 0.0300 0.6381 0.0029  6 Pm 3.39-3.78, 3 Ho 3.49-3.62, 1 Ac 3.62
8 Pm 0.9700 0.3619 0.9971  6 Pm 3.39-3.78, 3 Ho 3.49-3.62, 1 Ac 3.62
9 Pm 0.6681 0.3619 0.0029  6 Pm 3.39-3.78, 3 Ho 3.49-3.62, 1 Ac 3.62
10 Pm 0.4722 0.3575 0.5031  7 Pm 3.44-3.81, 4 Ho 3.50-3.61
11 Pm 0.8297 0.6425 0.5031  7 Pm 3.44-3.81, 4 Ho 3.50-3.61
12 Pm 0.1703 0.3575 0.4969  7 Pm 3.44-3.81, 4 Ho 3.50-3.61
13 Pm 0.5278 0.6425 0.4969  7 Pm 3.44-3.81, 4 Ho 3.50-3.61
14 Ho 0.5000 0.0000 0.5000  10 Pm 3.59-3.85, 4 Ho 3.76
15 Ho 0.1413 0.7174 0.5000  8 Pm 3.49-3.61, 2 Ac 3.79
16 Ho 0.8587 0.2826 0.5000  8 Pm 3.49-3.61, 2 Ac 3.79
17 Ho 0.6385 0.7230 0.0000  8 Pm 3.35-3.62
18 Ho 0.3615 0.2770 0.0000  8 Pm 3.35-3.62

## Properties
Crystal system ... monoclinic
Space-group type ... C2/m, No. 12

Computed mass density (Mg/m³) in order:
7.97; 8.04; 7.49; 7.96; 7.21; 7.96; 8.36; 8.35; 8.22; 7.63; 8.03; 7.59
Computed calculated formation energy (meV/atom) in order:
110; 42; 350; 40; 194; 204; 96; 96; 131; 239; 216; 90